# 1
Material: TaMn2Pb
Method: DFT, PBE
State: relaxed

```
TaMn2Pb
1.0
3.320 0.000 0.000
0.000 3.336 0.014
0.000 3.309 6.289
Mn Ta Pb
2 1 1
direct
0.000 0.460 0.540
0.000 0.040 0.960
0.500 0.750 0.750
0.500 0.250 0.250
```

The final energy comes out at -8.262 eV/atom. The crystal system is orthorhombic. Its total magnetization is 5.021 Bohr magnetons per cell. The density is 11.9 g cm⁻³. The value obtained for the calculated formation energy is 0.213 eV/atom.



# 2
Material: ErMn6Fe3
Method: DFT, PBE
State: relaxed

```
ErMn6Fe3
1.0
4.688 0.241 -1.787
-3.181 3.571 -0.611
1.639 0.125 6.687
Mn Fe Er
6 3 1
direct
0.761 0.668 0.415
0.241 0.579 0.300
0.258 0.341 0.617
0.730 0.291 0.612
0.749 0.093 0.276
0.271 0.854 0.651
0.624 0.421 0.027
0.256 0.715 0.958
0.222 0.042 0.264
0.889 0.997 0.881
```

The final energy comes out at -8.369 eV/atom. The crystal system is triclinic. Its total magnetization is 6.379 Bohr magnetons per cell. The density is 8.6 g cm⁻³. The value obtained for the calculated formation energy is 0.127 eV/atom.



# 3
Material: Sr2LiTl7Pb2
Method: DFT, PBE
State: relaxed

```
Sr2LiTl7Pb2
1.0
-2.738 2.931 -2.599
-3.683 -3.010 0.463
-8.170 7.905 12.816
Pb Sr Tl Li
2 2 7 1
direct
0.348 0.348 0.281
0.652 0.652 0.719
0.824 0.824 0.326
0.176 0.176 0.674
0.500 0.500 0.000
0.260 0.260 0.469
0.578 0.079 0.856
0.740 0.740 0.531
0.921 0.422 0.144
0.079 0.578 0.856
0.422 0.921 0.144
0.000 0.000 0.000
```

The final energy comes out at -2.609 eV/atom. The crystal system is monoclinic. Its total magnetization is 0.000 Bohr magnetons per cell. The density is 8.8 g cm⁻³. The value obtained for the calculated formation energy is -0.171 eV/atom.



Q: Look up the final energy of the second one.
A: -8.369 eV/atom



Q: What is the calculated formation energy in the second record?
A: 0.127 eV/atom